Entry 1:
Material: In2NiW
Method: DFT, PBE-GGA
State: relaxed

Cell and atoms, written as extended XYZ:
```
4
Lattice="2.886 0.000 0.000 0.000 4.343 0.000 -0.758 0.000 5.641" Properties=species:S:1:pos:R:3 pbc="T T T"
In 0.163 0.000 1.441
In 1.965 0.000 4.199
Ni -0.379 2.171 2.820
W 1.443 2.171 0.000
```

Output
Fermi-level density of states (states/eV/atom): 0.671
Offset from the most stable computed form (meV per atom): 215
Formation energy (eV per formula unit): 2.0
Spin magnetization (μB per atom): 0.0000

---

Entry 2:
Material: Dy2BS4
Method: DFT, PBE-GGA
State: relaxed

Cell and atoms, written as extended XYZ:
```
14
Lattice="6.565 0.000 0.000 0.000 6.565 0.000 0.000 0.000 8.213" Properties=species:S:1:pos:R:3 pbc="T T T"
Dy 0.000 3.282 2.053
Dy 0.000 3.282 6.160
Dy 3.282 0.000 2.053
Dy 3.282 0.000 6.160
B 0.000 0.000 0.000
B 3.282 3.282 4.107
S 1.210 1.210 0.921
S 1.210 5.354 7.292
S 2.072 2.072 5.028
S 2.072 4.493 3.185
S 4.493 2.072 3.185
S 4.493 4.493 5.028
S 5.354 1.210 7.292
S 5.354 5.354 0.921
```

Output
Formation energy without anion corrections (eV per formula unit): -8.08
Fermi-level density of states (states/eV/atom): 0.532
Spin magnetization (μB per atom): 0.0001

---

Looking at calculated total energy for the records above, in order, we have -22.21; -80.94 eV for the cell shown.